Compound: Rb2CdPPt
Source: the Alexandria database
Functional: PBE
Structure: relaxed

* calculated density: 4.293 g cm⁻³
* formation enthalpy at 0 K: -0.24 eV per atom
* energy above the lowest structure with this stoichiometry: 0.000 eV/atom
* magnetic moment: 0.000 μB per atom
* VASP energy: -3.096 eV/atom

a = 6.688 Å, b = 6.688 Å, c = 4.405 Å
α = 90.00°, β = 90.00°, γ = 90.00°
Space group P4/mmm (No. 123)
Symmetry-distinct sites (fractional):
Rb  0.000  0.500  0.000 (multiplicity 2)
Cd  0.000  0.000  0.500 (multiplicity 1)
P  0.500  0.500  0.500 (multiplicity 1)
Pt  0.500  0.500  0.000 (multiplicity 1)